# 1
Compound: SmTm2Tl2Zn2
Source: the Alexandria database
Functional: PBE
Structure: optimized geometry

a = 4.789 Å, b = 4.789 Å, c = 9.251 Å
α = 75.00°, β = 75.00°, γ = 60.00°
Fractional positions:
Zn1 0.432 0.432 0.705
Zn2 0.568 0.568 0.295
Sm1 0.000 0.000 0.000
Tm1 0.868 0.868 0.397
Tl1 0.735 0.735 0.795
Tm2 0.132 0.132 0.603
Tl2 0.265 0.265 0.205

Computed properties:
Its crystal system is trigonal. As for the energy of formation from the pure elements: -0.1524 eV/atom. The value obtained for the total magnetization is 0.00 μB/f.u. For the density of states at the Fermi level, the calculation gives 4.31 states/eV/cell.

# 2
Compound: Ac2Tb3Y3
Source: the Alexandria database
Functional: PBE
Structure: optimized geometry

a = 3.737 Å, b = 8.995 Å, c = 17.765 Å
α = 90.00°, β = 90.00°, γ = 101.99°
Fractional positions:
Ac1 0.748 0.496 0.604
Ac2 0.252 0.504 0.104
Ac3 0.252 0.504 0.396
Tb1 0.588 0.176 0.250
Y1 0.591 0.182 0.459
Tb2 0.412 0.824 0.750
Tb3 0.954 0.908 0.382
Y2 0.409 0.818 0.541
Y3 0.409 0.818 0.959
Tb4 0.954 0.908 0.118
Y4 0.591 0.182 0.041
Y5 0.379 0.759 0.250
Y6 0.621 0.241 0.750
Tb5 0.046 0.092 0.882
Tb6 0.046 0.092 0.618
Ac4 0.748 0.496 0.896

Computed properties:
Its crystal system is orthorhombic. As for the energy of formation from the pure elements: 0.1744 eV/atom. The value obtained for the total magnetization is 0.00 μB/f.u. For the density of states at the Fermi level, the calculation gives 23.89 states/eV/cell.

# 3
Compound: SrTl2Te
Source: the Alexandria database
Functional: PBE
Structure: optimized geometry

a = 4.784 Å, b = 4.784 Å, c = 5.727 Å
α = 90.00°, β = 90.00°, γ = 90.05°
Fractional positions:
Te1 0.000 0.500 0.500
Sr1 0.500 0.000 0.500
Tl1 0.000 0.000 0.000
Tl2 0.500 0.500 0.000

Computed properties:
The value obtained for the uncorrected formation energy is -604 meV/atom. The energy above the most stable polymorph in this dataset is 40 meV per atom. Its crystal system is tetragonal. The value obtained for the total magnetization is 0.00 μB/f.u. For the density of states at the Fermi level, the calculation gives 1.91 states/eV/cell.

# 4
Compound: SrTaMo
Source: the Alexandria database
Functional: PBE
Structure: optimized geometry

a = 3.349 Å, b = 3.349 Å, c = 7.416 Å
α = 90.00°, β = 90.00°, γ = 120.00°
Fractional positions:
Ta1 0.333 0.667 0.725
Sr1 0.667 0.333 0.321
Mo1 0.000 0.000 0.954

Computed properties:
The energy above the most stable polymorph in this dataset is 293 meV per atom. Its crystal system is trigonal. As for the energy of formation from the pure elements: 0.8046 eV/atom. The value obtained for the total magnetization is 0.00 μB/f.u. For the density of states at the Fermi level, the calculation gives 3.17 states/eV/cell.

# 5
Compound: BaNa2BCl
Source: the Alexandria database
Functional: PBE
Structure: optimized geometry

a = 5.012 Å, b = 6.326 Å, c = 5.012 Å
α = 90.00°, β = 90.00°, γ = 90.00°
Fractional positions:
Na1 0.000 0.000 0.500
Na2 0.500 0.000 0.000
Ba1 0.000 0.500 0.000
B1 0.500 0.500 0.500
Cl1 0.000 0.000 0.000

Computed properties:
The value obtained for the uncorrected formation energy is 91 meV/atom. Its crystal system is tetragonal. The value obtained for the total magnetization is 1.56 μB/f.u. For the density of states at the Fermi level, the calculation gives 3.00 states/eV/cell.

# 6
Compound: CePr12Ho7
Source: the Alexandria database
Functional: PBE
Structure: optimized geometry

a = 6.260 Å, b = 11.542 Å, c = 11.542 Å
α = 116.81°, β = 100.42°, γ = 100.42°
Fractional positions:
Pr1 0.912 0.412 0.823
Pr2 0.926 0.354 0.353
Pr3 0.428 0.000 0.354
Pr4 0.911 0.823 0.411
Pr5 0.500 0.411 0.588
Pr6 0.500 0.589 0.412
Ho1 0.882 0.241 0.000
Ho2 0.641 0.758 0.759
Pr7 0.089 0.177 0.589
Ce1 0.000 0.000 0.000
Ho3 0.118 0.759 0.000
Ho4 0.117 0.000 0.758
Pr8 0.572 0.647 0.000
Ho5 0.883 0.000 0.242
Ho6 0.500 0.000 0.000
Pr9 0.572 0.000 0.646
Pr10 0.088 0.588 0.177
Pr11 0.074 0.646 0.647
Pr12 0.428 0.353 0.000
Ho7 0.359 0.242 0.241

Computed properties:
The energy above the most stable polymorph in this dataset is 82 meV per atom. Its crystal system is trigonal. As for the energy of formation from the pure elements: 0.2329 eV/atom. The value obtained for the total magnetization is 0.16 μB/f.u. For the density of states at the Fermi level, the calculation gives 31.94 states/eV/cell.

# 7
Compound: YCdIn
Source: the Alexandria database
Functional: PBE
Structure: optimized geometry

a = 6.451 Å, b = 4.923 Å, c = 9.534 Å
α = 90.00°, β = 90.00°, γ = 90.00°
Fractional positions:
Y1 0.830 0.250 0.082
Y2 0.330 0.250 0.418
In1 0.336 0.250 0.088
In2 0.164 0.750 0.588
Cd1 0.953 0.250 0.737
In3 0.664 0.750 0.912
Cd2 0.047 0.750 0.263
Y3 0.670 0.750 0.582
Cd3 0.547 0.750 0.237
Y4 0.170 0.750 0.918
In4 0.836 0.250 0.412
Cd4 0.453 0.250 0.763

Computed properties:
Its crystal system is orthorhombic. As for the energy of formation from the pure elements: -0.3473 eV/atom. The value obtained for the total magnetization is 0.00 μB/f.u. For the density of states at the Fermi level, the calculation gives 7.81 states/eV/cell.

# 8
Compound: Er3Si4Rh
Source: the Alexandria database
Functional: PBE
Structure: optimized geometry

a = 4.219 Å, b = 5.602 Å, c = 8.015 Å
α = 110.45°, β = 105.26°, γ = 90.00°
Fractional positions:
Er1 0.194 0.194 0.388
Si1 0.621 0.413 0.241
Si2 0.379 0.171 0.759
Si3 0.621 0.829 0.241
Si4 0.379 0.587 0.759
Rh1 0.500 0.000 0.000
Er2 0.000 0.500 0.000
Er3 0.806 0.806 0.612

Computed properties:
The value obtained for the uncorrected formation energy is -650 meV/atom. Its crystal system is orthorhombic. The value obtained for the total magnetization is 0.00 μB/f.u. For the density of states at the Fermi level, the calculation gives 4.08 states/eV/cell.